The following is a GGA+U calculation of a relaxed structure of CsK2V3F12, from Alexandria via LeMat-Bulk.

Results
Space group ... No. 166
Electronic total energy ... -5.55 eV/atom

a b c (Å): 7.674 7.674 7.674
angles (deg): 59.75 59.75 59.75
Fractional coordinates of all 18 atoms:
Cs1 0.000 0.000 0.000
K1 0.367 0.367 0.367
K2 0.633 0.633 0.633
V1 0.000 0.000 0.500
V2 0.000 0.500 0.000
V3 0.500 0.000 0.000
F1 0.107 0.724 0.724
F2 0.131 0.131 0.536
F3 0.131 0.536 0.131
F4 0.276 0.276 0.893
F5 0.276 0.893 0.276
F6 0.464 0.869 0.869
F7 0.536 0.131 0.131
F8 0.724 0.107 0.724
F9 0.724 0.724 0.107
F10 0.869 0.464 0.869
F11 0.869 0.869 0.464
F12 0.893 0.276 0.276